{
  "formula": "LiPm2ScTe5",
  "functional": "PBE",
  "state": "relaxed",
  "cell": [[2.1640, -9.2673, 0.0000], [2.1640, 9.2673, 0.0000], [0.0000, 0.0000, 12.9869]],
  "species": ["Li", "Li", "Pm", "Pm", "Pm", "Pm", "Sc", "Sc", "Te", "Te", "Te", "Te", "Te", "Te", "Te", "Te", "Te", "Te"],
  "fractional_positions": [[0.0654, 0.9346, 0.5000], [0.9346, 0.0654, 0.0000], [0.3719, 0.6281, 0.3420], [0.3933, 0.6067, 0.7261], [0.6067, 0.3933, 0.2261], [0.6281, 0.3719, 0.8420], [0.3053, 0.6947, 0.0515], [0.6947, 0.3053, 0.5515], [0.0022, 0.9978, 0.8232], [0.1449, 0.8551, 0.0389], [0.1929, 0.8071, 0.3897], [0.2179, 0.7821, 0.7026], [0.4506, 0.5494, 0.1092], [0.5494, 0.4506, 0.6092], [0.7821, 0.2179, 0.2026], [0.8071, 0.1929, 0.8897], [0.8551, 0.1449, 0.5389], [0.9978, 0.0022, 0.3232]],
  "raw_formation_energy_ev_per_atom": -1.272
}

---

{
  "formula": "LiPmScTl",
  "functional": "PBE",
  "state": "relaxed",
  "cell": [[0.0000, 3.6869, 3.6869], [3.6869, 0.0000, 3.6869], [3.6869, 3.6869, 0.0000]],
  "species": ["Li", "Pm", "Sc", "Tl"],
  "fractional_positions": [[0.0000, 0.0000, 0.0000], [0.2500, 0.2500, 0.2500], [0.7500, 0.7500, 0.7500], [0.5000, 0.5000, 0.5000]],
  "formation_energy_kj_per_mol_atoms": -16.85
}

---

{
  "formula": "Li2PmScTl4",
  "functional": "PBE",
  "state": "relaxed",
  "cell": [[2.5592, 1.4775, 8.4865], [-2.5592, 1.4775, 8.4865], [0.0000, -2.9551, 8.4865]],
  "species": ["Li", "Li", "Pm", "Sc", "Tl", "Tl", "Tl", "Tl"],
  "fractional_positions": [[0.2484, 0.2484, 0.2484], [0.7516, 0.7516, 0.7516], [0.0000, 0.0000, 0.0000], [0.5000, 0.5000, 0.5000], [0.1286, 0.1286, 0.1286], [0.3809, 0.3809, 0.3809], [0.6191, 0.6191, 0.6191], [0.8714, 0.8714, 0.8714]],
  "formation_energy_kj_per_mol_atoms": -27.90
}